Record 1
First-principles (PBE) data for a relaxed structure of Pm2Sm7Y4, as listed in Alexandria.

Cell and atoms, written as POSCAR:
```
Pm2Sm7Y4
1.0
6.2451 0.0000 0.0000
1.0421 8.0142 0.0000
1.0279 3.9293 8.6653
Pm Sm Y
2 7 4
Direct
0.1540 0.1930 0.3841
0.8460 0.8070 0.6159
0.0000 0.5000 0.0000
0.0756 0.3460 0.6930
0.2301 0.0389 0.0771
0.3847 0.7307 0.4613
0.6153 0.2693 0.5387
0.7699 0.9611 0.9229
0.9244 0.6540 0.3070
0.3073 0.8845 0.7702
0.4622 0.5769 0.1531
0.5378 0.4231 0.8469
0.6927 0.1155 0.2298
```

Summary:
Space-group type ... P-1
Spin magnetization ... 0.00 Bohr magnetons per cell
Final energy ... -5.246 eV/atom

---

Record 2
First-principles (PBE) data for a relaxed structure of Pm5SmY5, as listed in Alexandria.

Cell and atoms, written as POSCAR:
```
Pm5SmY5
1.0
8.1521 -2.8684 0.0000
8.1521 2.8684 0.0000
-7.1951 0.0000 8.1069
Pm Sm Y
5 1 5
Direct
0.0000 0.0000 0.0000
0.3137 0.3137 0.0110
0.3140 0.3140 0.6168
0.6860 0.6860 0.3832
0.6863 0.6863 0.9890
0.5000 0.5000 0.0000
0.0000 0.0000 0.3142
0.0000 0.0000 0.6858
0.2464 0.2464 0.2466
0.5000 0.5000 0.5000
0.7536 0.7536 0.7534
```

Summary:
Space-group type ... C2/m
Spin magnetization ... 0.35 Bohr magnetons per cell
Final energy ... -5.187 eV/atom

---

Record 3
First-principles (PBE) data for a relaxed structure of Pm3Sm3Y, as listed in Alexandria.

Cell and atoms, written as POSCAR:
```
Pm3Sm3Y
1.0
9.7369 0.0000 0.0000
-4.8684 8.4324 0.0000
0.0000 0.0000 5.8311
Pm Sm Y
6 6 2
Direct
0.0455 0.8064 0.2500
0.1936 0.2391 0.2500
0.2391 0.0455 0.7500
0.7609 0.9545 0.2500
0.8064 0.7609 0.7500
0.9545 0.1936 0.7500
0.0947 0.6187 0.7500
0.3813 0.4760 0.7500
0.4760 0.0947 0.2500
0.5240 0.9053 0.7500
0.6187 0.5240 0.2500
0.9053 0.3813 0.2500
0.3333 0.6667 0.2500
0.6667 0.3333 0.7500
```

Summary:
Space-group type ... P6_3/m
Spin magnetization ... 0.00 Bohr magnetons per cell
Final energy ... -4.960 eV/atom

---

Record 4
First-principles (PBE) data for a relaxed structure of Pm5Sm4Y3, as listed in Alexandria.

Cell and atoms, written as POSCAR:
```
Pm5Sm4Y3
1.0
8.1931 -2.9900 0.0000
8.1931 2.9900 0.0000
-4.2443 0.0000 8.4501
Pm Sm Y
5 4 3
Direct
0.0000 0.0000 0.0000
0.3274 0.3274 0.6117
0.4259 0.4259 0.2990
0.5741 0.5741 0.7010
0.6726 0.6726 0.3883
0.0825 0.0825 0.4431
0.2166 0.2166 0.8787
0.7834 0.7834 0.1213
0.9175 0.9175 0.5569
0.2084 0.2084 0.2279
0.5000 0.5000 0.0000
0.7916 0.7916 0.7721
```

Summary:
Space-group type ... C2/m
Spin magnetization ... 0.00 Bohr magnetons per cell
Final energy ... -4.948 eV/atom

---

Record 5
First-principles (PBE) data for a relaxed structure of Pm2SmY, as listed in Alexandria.

Cell and atoms, written as POSCAR:
```
Pm2SmY
1.0
3.6252 0.0000 0.0000
0.0000 3.6252 0.0000
0.0000 0.0000 10.2600
Pm Sm Y
2 1 1
Direct
0.0000 0.0000 0.2487
0.0000 0.0000 0.7513
0.5000 0.5000 0.5000
0.5000 0.5000 0.0000
```

Summary:
Space-group type ... P4/mmm
Spin magnetization ... 0.00 Bohr magnetons per cell
Final energy ... -5.155 eV/atom

---

Record 6
First-principles (PBE) data for a relaxed structure of Pm3SmY8, as listed in Alexandria.

Cell and atoms, written as POSCAR:
```
Pm3SmY8
1.0
-5.4861 5.7298 3.1806
5.4861 -5.7298 3.1806
5.4861 5.7298 -3.1806
Pm Sm Y
3 1 8
Direct
0.0000 0.0000 0.0000
0.0794 0.3295 0.7499
0.5795 0.3295 0.2501
0.5004 0.0004 0.5000
0.0807 0.6643 0.0836
0.0807 0.9970 0.4164
0.4991 0.3325 0.8335
0.4991 0.6656 0.1665
0.5807 0.6643 0.5836
0.5807 0.9970 0.9164
0.9992 0.3331 0.3339
0.9992 0.6654 0.6661
```

Summary:
Space-group type ... Imm2
Spin magnetization ... 0.00 Bohr magnetons per cell
Final energy ... -5.878 eV/atom

---

Record 7
First-principles (PBE) data for a relaxed structure of Pm3SmY, as listed in Alexandria.

Cell and atoms, written as POSCAR:
```
Pm3SmY
1.0
3.1393 -9.0849 0.0000
3.1393 9.0849 0.0000
-2.0683 0.0000 5.9368
Pm Sm Y
6 2 2
Direct
0.0504 0.9496 0.7500
0.2498 0.7502 0.7500
0.4494 0.5506 0.7500
0.5506 0.4494 0.2500
0.7502 0.2498 0.2500
0.9496 0.0504 0.2500
0.1499 0.8501 0.2500
0.8501 0.1499 0.7500
0.3497 0.6503 0.2500
0.6503 0.3497 0.7500
```

Summary:
Space-group type ... C2/c
Spin magnetization ... 0.00 Bohr magnetons per cell
Final energy ... -5.074 eV/atom

---

Record 8
First-principles (PBE) data for a relaxed structure of Pm7Sm3Y2, as listed in Alexandria.

Cell and atoms, written as POSCAR:
```
Pm7Sm3Y2
1.0
5.8407 0.0000 0.0000
0.0000 3.6296 0.0000
-2.9004 0.0000 19.3757
Pm Sm Y
7 3 2
Direct
0.0000 0.0000 0.0000
0.0932 0.5000 0.1856
0.2684 0.5000 0.5366
0.4270 0.0000 0.8551
0.5730 0.0000 0.1449
0.7316 0.5000 0.4634
0.9068 0.5000 0.8144
0.1848 0.0000 0.3696
0.5000 0.5000 0.0000
0.8152 0.0000 0.6304
0.3517 0.5000 0.7039
0.6483 0.5000 0.2961
```

Summary:
Space-group type ... P2/m
Spin magnetization ... 0.00 Bohr magnetons per cell
Final energy ... -4.926 eV/atom

---

Record 9
First-principles (PBE) data for a relaxed structure of Pm12Sm2Y5, as listed in Alexandria.

Cell and atoms, written as POSCAR:
```
Pm12Sm2Y5
1.0
8.9785 -5.8860 0.0000
8.9785 5.8860 0.0000
-1.3457 0.0000 6.1016
Pm Sm Y
12 2 5
Direct
0.0453 0.5596 0.8009
0.0547 0.0547 0.2743
0.1463 0.6458 0.3840
0.3542 0.8537 0.6160
0.3783 0.3783 0.0017
0.4404 0.9547 0.1991
0.5596 0.0453 0.8009
0.6217 0.6217 0.9983
0.6458 0.1463 0.3840
0.8537 0.3542 0.6160
0.9453 0.9453 0.7257
0.9547 0.4404 0.1991
0.2721 0.7279 0.0000
0.7279 0.2721 0.0000
0.1762 0.1762 0.8599
0.2848 0.2848 0.4492
0.5000 0.5000 0.5000
0.7152 0.7152 0.5508
0.8238 0.8238 0.1401
```

Summary:
Space-group type ... C2/m
Spin magnetization ... 0.00 Bohr magnetons per cell
Final energy ... -5.103 eV/atom

---

Record 10
First-principles (PBE) data for a relaxed structure of Pm3Sm2Y2, as listed in Alexandria.

Cell and atoms, written as POSCAR:
```
Pm3Sm2Y2
1.0
7.9020 -1.8100 0.0000
7.9020 1.8100 0.0000
-3.3128 0.0000 8.2236
Pm Sm Y
3 2 2
Direct
0.0000 0.0000 0.0000
0.1423 0.1423 0.4275
0.8577 0.8577 0.5725
0.2852 0.2852 0.8570
0.7148 0.7148 0.1430
0.4286 0.4286 0.2860
0.5714 0.5714 0.7140
```

Summary:
Space-group type ... C2/m
Spin magnetization ... 0.00 Bohr magnetons per cell
Final energy ... -5.216 eV/atom

---

Record 11
First-principles (PBE) data for a relaxed structure of Pm2Sm2Y3, as listed in Alexandria.

Cell and atoms, written as POSCAR:
```
Pm2Sm2Y3
1.0
6.2485 0.0000 0.0000
-1.0318 6.1676 0.0000
-1.0549 -1.2506 6.0430
Pm Sm Y
2 2 3
Direct
0.2139 0.4280 0.3562
0.7861 0.5720 0.6438
0.0711 0.1424 0.7854
0.9289 0.8576 0.2146
0.3572 0.7148 0.9280
0.5000 0.0000 0.5000
0.6428 0.2852 0.0720
```

Summary:
Space-group type ... P-1
Spin magnetization ... 0.00 Bohr magnetons per cell
Final energy ... -5.459 eV/atom

---

E_form in meV/atom, matching the order above: 15 340 22 220 16 12 13 102 95 15 17